1.
Compound: ZrP3Se
Source: Alexandria via LeMat-Bulk
Functional: GGA-PBE
Structure: optimized geometry

Structure (CIF):
```
data_ZrP3Se
_cell_length_a 5.0215
_cell_length_b 5.0215
_cell_length_c 5.0215
_cell_angle_alpha 90.00
_cell_angle_beta 90.00
_cell_angle_gamma 90.00
_symmetry_space_group_name_H-M 'P m -3 m'
_symmetry_Int_Tables_number 221
_symmetry_space_group_name_Hall '-P 4 2 3'
loop_
_atom_site_label
_atom_site_type_symbol
_atom_site_fract_x
_atom_site_fract_y
_atom_site_fract_z
Zr1 Zr 0.0000 0.0000 0.0000
P1 P 0.0000 0.0000 0.5000
Se1 Se 0.5000 0.5000 0.5000
```

D(E_F) in states/eV per cell: 7.6
ρ in g/cm³: 3.450
Formation energy (no corrections) in eV/atom: 0.67
ΔE to the lowest computed polymorph in meV/atom: 6

2.
Compound: Pm2InSnAu6
Source: Alexandria via LeMat-Bulk
Functional: GGA-PBE
Structure: optimized geometry

Structure (CIF):
```
data_Pm2InSnAu6
_cell_length_a 5.5347
_cell_length_b 6.9816
_cell_length_c 7.0431
_cell_angle_alpha 90.65
_cell_angle_beta 112.98
_cell_angle_gamma 113.14
_symmetry_space_group_name_H-M 'P -1'
_symmetry_Int_Tables_number 2
_symmetry_space_group_name_Hall '-P 1'
loop_
_atom_site_label
_atom_site_type_symbol
_atom_site_fract_x
_atom_site_fract_y
_atom_site_fract_z
Pm1 Pm 0.2463 0.2506 0.2406
In1 In 0.0000 0.5000 0.5000
Sn1 Sn 0.5000 0.0000 0.0000
Au1 Au 0.1762 0.1795 0.6762
Au2 Au 0.2467 0.5623 0.9331
Au3 Au 0.3258 0.8187 0.3269
```

D(E_F) in states/eV per cell: 5.0
ρ in g/cm³: 12.530
Energy of formation in kJ/mol of atoms: -44

3.
Compound: Pr7Sn2N2
Source: Alexandria via LeMat-Bulk
Functional: GGA-PBE
Structure: optimized geometry

Structure (CIF):
```
data_Pr7Sn2N2
_cell_length_a 11.5687
_cell_length_b 7.8088
_cell_length_c 6.7747
_cell_angle_alpha 90.00
_cell_angle_beta 96.10
_cell_angle_gamma 90.00
_symmetry_space_group_name_H-M 'C 1 2/m 1'
_symmetry_Int_Tables_number 12
_symmetry_space_group_name_Hall '-C 2y'
loop_
_atom_site_label
_atom_site_type_symbol
_atom_site_fract_x
_atom_site_fract_y
_atom_site_fract_z
Pr1 Pr 0.0000 0.0000 0.0000
Pr2 Pr 0.0665 0.5000 0.7892
Pr3 Pr 0.2227 0.2847 0.2277
Sn1 Sn 0.0000 0.1815 0.5000
N1 N 0.2267 0.0000 0.0305
```

D(E_F) in states/eV per cell: 19.4
ρ in g/cm³: 6.832
Formation energy (no corrections) in eV/atom: -0.58

4.
Compound: BaSb2Au6
Source: Alexandria via LeMat-Bulk
Functional: GGA-PBE
Structure: optimized geometry

Structure (CIF):
```
data_BaSb2Au6
_cell_length_a 4.8163
_cell_length_b 4.8163
_cell_length_c 9.2917
_cell_angle_alpha 90.00
_cell_angle_beta 90.00
_cell_angle_gamma 90.00
_symmetry_space_group_name_H-M 'P 4/m m m'
_symmetry_Int_Tables_number 123
_symmetry_space_group_name_Hall '-P 4 2'
loop_
_atom_site_label
_atom_site_type_symbol
_atom_site_fract_x
_atom_site_fract_y
_atom_site_fract_z
Ba1 Ba 0.0000 0.0000 0.0000
Sb1 Sb 0.5000 0.5000 0.1741
Au1 Au 0.0000 0.0000 0.5000
Au2 Au 0.0000 0.5000 0.3237
Au3 Au 0.5000 0.5000 0.5000
```

D(E_F) in states/eV per cell: 2.8
ρ in g/cm³: 12.039
Formation energy (no corrections) in eV/atom: -0.27
ΔE to the lowest computed polymorph in meV/atom: 0

What did the fourth record say?
Compound: BaSb2Au6
Source: Alexandria via LeMat-Bulk
Functional: GGA-PBE
Structure: optimized geometry

Structure (CIF):
```
data_BaSb2Au6
_cell_length_a 4.8163
_cell_length_b 4.8163
_cell_length_c 9.2917
_cell_angle_alpha 90.00
_cell_angle_beta 90.00
_cell_angle_gamma 90.00
_symmetry_space_group_name_H-M 'P 4/m m m'
_symmetry_Int_Tables_number 123
_symmetry_space_group_name_Hall '-P 4 2'
loop_
_atom_site_label
_atom_site_type_symbol
_atom_site_fract_x
_atom_site_fract_y
_atom_site_fract_z
Ba1 Ba 0.0000 0.0000 0.0000
Sb1 Sb 0.5000 0.5000 0.1741
Au1 Au 0.0000 0.0000 0.5000
Au2 Au 0.0000 0.5000 0.3237
Au3 Au 0.5000 0.5000 0.5000
```

D(E_F) in states/eV per cell: 2.8
ρ in g/cm³: 12.039
Formation energy (no corrections) in eV/atom: -0.27
ΔE to the lowest computed polymorph in meV/atom: 0